Compound: TiRe3I
Source: the Alexandria database
Functional: PBE-GGA
Structure: relaxed

Unit cell a=4.762 b=4.762 c=4.762 alpha=90.00 beta=90.00 gamma=90.00
Fractional coordinates of all 5 atoms:
Ti (0.000, 0.000, 0.000)
Re (0.000, 0.500, 0.500)
Re (0.500, 0.000, 0.500)
Re (0.500, 0.500, 0.000)
I (0.500, 0.500, 0.500)

Calculated values
Size of the total moment   0.00 μB/f.u.
E_tot   -33.699 eV per cell
Formation energy from raw total energies   2.618 eV per atom



Compound: TiRe2I
Source: the Alexandria database
Functional: PBE-GGA
Structure: relaxed

Unit cell a=6.441 b=6.441 c=6.441 alpha=90.00 beta=90.00 gamma=90.00
Fractional coordinates of all 16 atoms:
Ti (0.000, 0.000, 0.000)
Ti (0.000, 0.500, 0.500)
Ti (0.500, 0.000, 0.500)
Ti (0.500, 0.500, 0.000)
Re (0.250, 0.250, 0.250)
Re (0.250, 0.250, 0.750)
Re (0.250, 0.750, 0.250)
Re (0.250, 0.750, 0.750)
Re (0.750, 0.250, 0.250)
Re (0.750, 0.250, 0.750)
Re (0.750, 0.750, 0.250)
Re (0.750, 0.750, 0.750)
I (0.000, 0.000, 0.500)
I (0.000, 0.500, 0.000)
I (0.500, 0.000, 0.000)
I (0.500, 0.500, 0.500)

Calculated values
Size of the total moment   0.00 μB/f.u.
E_tot   -124.602 eV per cell
ΔE to the lowest computed polymorph   0.0 meV per atom
Formation energy from raw total energies   0.798 eV per atom



Compound: TiRe2I
Source: the Alexandria database
Functional: PBE-GGA
Structure: relaxed

Unit cell a=3.869 b=3.869 c=20.528 alpha=90.00 beta=90.00 gamma=90.00
Fractional coordinates of all 16 atoms:
Ti (0.000, 0.000, 0.000)
Ti (0.000, 0.500, 0.250)
Ti (0.500, 0.000, 0.750)
Ti (0.500, 0.500, 0.500)
Re (0.193, 0.250, 0.125)
Re (0.250, 0.693, 0.375)
Re (0.250, 0.807, 0.875)
Re (0.307, 0.250, 0.625)
Re (0.693, 0.750, 0.625)
Re (0.750, 0.193, 0.875)
Re (0.750, 0.307, 0.375)
Re (0.807, 0.750, 0.125)
I (0.000, 0.000, 0.500)
I (0.000, 0.500, 0.750)
I (0.500, 0.000, 0.250)
I (0.500, 0.500, 0.000)

Calculated values
Size of the total moment   0.00 μB/f.u.
E_tot   -122.124 eV per cell
ΔE to the lowest computed polymorph   154.9 meV per atom
Formation energy from raw total energies   0.953 eV per atom



Compound: YTi2ReI
Source: the Alexandria database
Functional: PBE-GGA
Structure: relaxed

Unit cell a=4.980 b=4.980 c=5.452 alpha=90.00 beta=90.00 gamma=90.00
Fractional coordinates of all 5 atoms:
Y (0.000, 0.000, 0.000)
Ti (0.000, 0.500, 0.000)
Ti (0.500, 0.000, 0.000)
Re (0.500, 0.500, 0.500)
I (0.000, 0.000, 0.500)

Calculated values
Size of the total moment   2.54 μB/f.u.
E_tot   -25.447 eV per cell
Formation energy from raw total energies   2.161 eV per atom



Compound: TlReI2
Source: the Alexandria database
Functional: PBE-GGA
Structure: relaxed

Unit cell a=8.224 b=8.224 c=8.224 alpha=90.00 beta=90.00 gamma=90.00
Fractional coordinates of all 16 atoms:
Tl (0.000, 0.000, 0.000)
Tl (0.000, 0.500, 0.500)
Tl (0.500, 0.000, 0.500)
Tl (0.500, 0.500, 0.000)
Re (0.000, 0.000, 0.500)
Re (0.000, 0.500, 0.000)
Re (0.500, 0.000, 0.000)
Re (0.500, 0.500, 0.500)
I (0.250, 0.250, 0.250)
I (0.250, 0.250, 0.750)
I (0.250, 0.750, 0.250)
I (0.250, 0.750, 0.750)
I (0.750, 0.250, 0.250)
I (0.750, 0.250, 0.750)
I (0.750, 0.750, 0.250)
I (0.750, 0.750, 0.750)

Calculated values
Size of the total moment   5.96 μB/f.u.
E_tot   -53.344 eV per cell
ΔE to the lowest computed polymorph   583.0 meV per atom
Formation energy from raw total energies   1.145 eV per atom



Compound: TlReI2
Source: the Alexandria database
Functional: PBE-GGA
Structure: relaxed

Unit cell a=9.462 b=9.462 c=5.657 alpha=90.00 beta=90.00 gamma=90.00
Fractional coordinates of all 16 atoms:
Tl (0.000, 0.000, 0.000)
Tl (0.000, 0.500, 0.250)
Tl (0.500, 0.000, 0.750)
Tl (0.500, 0.500, 0.500)
Re (0.000, 0.000, 0.500)
Re (0.000, 0.500, 0.750)
Re (0.500, 0.000, 0.250)
Re (0.500, 0.500, 0.000)
I (0.117, 0.250, 0.625)
I (0.250, 0.617, 0.875)
I (0.250, 0.883, 0.375)
I (0.383, 0.250, 0.125)
I (0.617, 0.750, 0.125)
I (0.750, 0.117, 0.375)
I (0.750, 0.383, 0.875)
I (0.883, 0.750, 0.625)

Calculated values
Size of the total moment   0.00 μB/f.u.
E_tot   -62.673 eV per cell
ΔE to the lowest computed polymorph   0.0 meV per atom
Formation energy from raw total energies   0.562 eV per atom



Compound: TlRe2I
Source: the Alexandria database
Functional: PBE-GGA
Structure: relaxed

Unit cell a=6.665 b=6.665 c=6.665 alpha=90.00 beta=90.00 gamma=90.00
Fractional coordinates of all 16 atoms:
Tl (0.000, 0.000, 0.000)
Tl (0.000, 0.500, 0.500)
Tl (0.500, 0.000, 0.500)
Tl (0.500, 0.500, 0.000)
Re (0.250, 0.250, 0.250)
Re (0.250, 0.250, 0.750)
Re (0.250, 0.750, 0.250)
Re (0.250, 0.750, 0.750)
Re (0.750, 0.250, 0.250)
Re (0.750, 0.250, 0.750)
Re (0.750, 0.750, 0.250)
Re (0.750, 0.750, 0.750)
I (0.000, 0.000, 0.500)
I (0.000, 0.500, 0.000)
I (0.500, 0.000, 0.000)
I (0.500, 0.500, 0.500)

Calculated values
Size of the total moment   0.00 μB/f.u.
E_tot   -89.747 eV per cell
ΔE to the lowest computed polymorph   0.0 meV per atom
Formation energy from raw total energies   1.594 eV per atom



Compound: TlRe2I
Source: the Alexandria database
Functional: PBE-GGA
Structure: relaxed

Unit cell a=6.572 b=6.572 c=9.735 alpha=90.00 beta=90.00 gamma=90.00
Fractional coordinates of all 16 atoms:
Tl (0.000, 0.000, 0.000)
Tl (0.000, 0.500, 0.250)
Tl (0.500, 0.000, 0.750)
Tl (0.500, 0.500, 0.500)
Re (0.227, 0.250, 0.625)
Re (0.250, 0.727, 0.875)
Re (0.250, 0.773, 0.375)
Re (0.273, 0.250, 0.125)
Re (0.727, 0.750, 0.125)
Re (0.750, 0.227, 0.375)
Re (0.750, 0.273, 0.875)
Re (0.773, 0.750, 0.625)
I (0.000, 0.000, 0.500)
I (0.000, 0.500, 0.750)
I (0.500, 0.000, 0.250)
I (0.500, 0.500, 0.000)

Calculated values
Size of the total moment   0.00 μB/f.u.
E_tot   -79.112 eV per cell
ΔE to the lowest computed polymorph   664.7 meV per atom
Formation energy from raw total energies   2.259 eV per atom



Compound: V3ReI
Source: the Alexandria database
Functional: PBE-GGA
Structure: relaxed

Unit cell a=4.766 b=4.766 c=4.766 alpha=90.00 beta=90.00 gamma=90.00
Fractional coordinates of all 5 atoms:
V (0.000, 0.000, 0.500)
V (0.000, 0.500, 0.000)
V (0.500, 0.000, 0.000)
Re (0.000, 0.000, 0.000)
I (0.500, 0.500, 0.500)

Calculated values
Size of the total moment   4.68 μB/f.u.
E_tot   -35.177 eV per cell
ΔE to the lowest computed polymorph   0.0 meV per atom
Formation energy from raw total energies   1.235 eV per atom



Compound: VRe2I
Source: the Alexandria database
Functional: PBE-GGA
Structure: relaxed

Unit cell a=6.378 b=6.378 c=6.378 alpha=90.00 beta=90.00 gamma=90.00
Fractional coordinates of all 16 atoms:
V (0.000, 0.000, 0.000)
V (0.000, 0.500, 0.500)
V (0.500, 0.000, 0.500)
V (0.500, 0.500, 0.000)
Re (0.250, 0.250, 0.250)
Re (0.250, 0.250, 0.750)
Re (0.250, 0.750, 0.250)
Re (0.250, 0.750, 0.750)
Re (0.750, 0.250, 0.250)
Re (0.750, 0.250, 0.750)
Re (0.750, 0.750, 0.250)
Re (0.750, 0.750, 0.750)
I (0.000, 0.000, 0.500)
I (0.000, 0.500, 0.000)
I (0.500, 0.000, 0.000)
I (0.500, 0.500, 0.500)

Calculated values
Size of the total moment   0.84 μB/f.u.
E_tot   -126.213 eV per cell
ΔE to the lowest computed polymorph   0.0 meV per atom
Formation energy from raw total energies   1.003 eV per atom



Compound: VRe2I
Source: the Alexandria database
Functional: PBE-GGA
Structure: relaxed

Unit cell a=3.850 b=3.850 c=20.380 alpha=90.00 beta=90.00 gamma=90.00
Fractional coordinates of all 16 atoms:
V (0.000, 0.000, 0.000)
V (0.000, 0.500, 0.250)
V (0.500, 0.000, 0.750)
V (0.500, 0.500, 0.500)
Re (0.193, 0.250, 0.125)
Re (0.250, 0.693, 0.375)
Re (0.250, 0.807, 0.875)
Re (0.307, 0.250, 0.625)
Re (0.693, 0.750, 0.625)
Re (0.750, 0.193, 0.875)
Re (0.750, 0.307, 0.375)
Re (0.807, 0.750, 0.125)
I (0.000, 0.000, 0.500)
I (0.000, 0.500, 0.750)
I (0.500, 0.000, 0.250)
I (0.500, 0.500, 0.000)

Calculated values
Size of the total moment   1.95 μB/f.u.
E_tot   -123.669 eV per cell
ΔE to the lowest computed polymorph   159.0 meV per atom
Formation energy from raw total energies   1.162 eV per atom



Compound: V2ReI
Source: the Alexandria database
Functional: PBE-GGA
Structure: relaxed

Unit cell a=5.780 b=5.780 c=12.113 alpha=90.00 beta=90.00 gamma=90.00
Fractional coordinates of all 16 atoms:
V (0.193, 0.250, 0.125)
V (0.250, 0.693, 0.375)
V (0.250, 0.807, 0.875)
V (0.307, 0.250, 0.625)
V (0.693, 0.750, 0.625)
V (0.750, 0.193, 0.875)
V (0.750, 0.307, 0.375)
V (0.807, 0.750, 0.125)
Re (0.000, 0.000, 0.000)
Re (0.000, 0.500, 0.250)
Re (0.500, 0.000, 0.750)
Re (0.500, 0.500, 0.500)
I (0.000, 0.000, 0.500)
I (0.000, 0.500, 0.750)
I (0.500, 0.000, 0.250)
I (0.500, 0.500, 0.000)

Calculated values
Size of the total moment   3.74 μB/f.u.
E_tot   -110.704 eV per cell
ΔE to the lowest computed polymorph   269.9 meV per atom
Formation energy from raw total energies   1.140 eV per atom



Question: Among the records above, which one has the lowest formation energy from raw total energies?
Answer: number 6